Below is crystalline MnCr2CoO6 at its relaxed geometry, with properties calculated at the PBE+U level.

The structure in extended XYZ format:
```
10
Lattice="2.536 1.464 4.590 -2.536 1.464 4.590 0.000 -2.929 4.590" Properties=species:S:1:pos:R:3 pbc="T T T"
Mn 0.000 0.000 0.000
Cr 0.000 0.000 4.228
Cr 0.000 0.000 11.049
Co 0.000 0.000 7.029
O -1.580 0.035 5.524
O -1.044 -1.502 7.879
O 0.759 -1.386 5.524
O -0.779 1.655 7.879
O 0.821 1.350 5.524
O 1.822 -0.153 7.879
```

Values from the calculation:
raw total energy: -0.5397 Ry/atom
SG: R3 (146)
total magnetization: 12.0 μB/f.u.